Entry 1:
The following is a DFT calculation (GGA-PBE) of a geometry-optimized AlCr5 structure.

formation enthalpy at 0 K: 326 meV per atom
M_tot: 0.000 μB per atom
excess energy over the best structure of this formula in the dataset: 376 meV/atom

Cell: 4.7215 4.7215 4.0924 Å, 90.00 90.00 120.00°
With the nearest neighbours (Å) after each atom.
Space group P6/mmm (No. 191)
One atom of each set of equivalent atoms:
Al1 0.0000 0.0000 0.0000 (multiplicity 1)  6 Cr 2.73
Cr1 0.0000 0.5000 0.5000 (multiplicity 3)  8 Cr 2.36-2.46
Cr2 0.3333 0.6667 0.0000 (multiplicity 2)  9 Cr 2.46-2.73, 3 Al 2.73



Entry 2:
The following is a DFT calculation (GGA-PBE) of a geometry-optimized TbEr2MgRh4 structure.

formation enthalpy at 0 K: -834 meV per atom
M_tot: 0.000 μB per atom

Cell: 4.7226 4.7226 23.2119 Å, 90.00 90.00 120.00°
With the nearest neighbours (Å) after each atom.
Space group R-3m (No. 166, hexagonal axes)
One atom of each set of equivalent atoms:
Tb1 0.0000 0.0000 0.0000 (multiplicity 3)  8 Rh 2.90-2.91
Er1 0.0000 0.0000 0.2445 (multiplicity 6)  8 Rh 2.77-3.07
Mg1 0.0000 0.0000 0.5000 (multiplicity 3)  8 Rh 2.86-2.89
Rh1 0.0000 0.0000 0.1251 (multiplicity 6)  4 Er 2.77-2.85, 3 Mg 2.89, 1 Tb 2.90
Rh2 0.0000 0.0000 0.3767 (multiplicity 6)  1 Mg 2.86, 3 Tb 2.91, 4 Er 2.92-3.07



Entry 3:
The following is a DFT calculation (GGA-PBE) of a geometry-optimized FeRuSe2 structure.

formation energy (no corrections): 86 meV per atom
M_tot: 0.981 μB per atom
excess energy over the best structure of this formula in the dataset: 311 meV/atom

Cell: 8.4399 3.3607 6.3059 Å, 90.00 106.61 90.00°
With the nearest neighbours (Å) after each atom.
Space group Cm (No. 8)
One atom of each set of equivalent atoms:
Fe1 0.0000 0.0000 0.0000 (multiplicity 2)  3 Se 2.41-2.51, 3 Ru 2.50-2.54
Ru1 0.2642 0.0000 0.8966 (multiplicity 2)  5 Se 2.48-2.74, 3 Fe 2.50-2.54
Se1 0.0064 0.5000 0.7069 (multiplicity 2)  2 Fe 2.51, 3 Ru 2.65-2.74
Se2 0.2914 0.5000 0.1940 (multiplicity 2)  1 Fe 2.41, 2 Ru 2.48



Entry 4:
The following is a DFT calculation (GGA-PBE) of a geometry-optimized GaFe3H structure.

E_tot: -6.404 eV/atom
M_tot: 1.290 μB per atom

Cell: 5.1738 7.5836 5.1683 Å, 90.00 90.00 90.00°
With the nearest neighbours (Å) after each atom.
Space group Cmcm (No. 63)
One atom of each set of equivalent atoms:
Ga1 0.0000 0.2384 0.2500 (multiplicity 4)  1 H 2.32, 8 Fe 2.58-2.60
Fe1 0.0000 0.2279 0.7500 (multiplicity 4)  1 H 1.73
Fe2 0.2459 0.5000 0.0000 (multiplicity 8)  2 H 1.84
H1 0.0000 0.4555 0.7500 (multiplicity 4)  5 Fe 1.73-1.84



Entry 5:
The following is a DFT calculation (GGA-PBE) of a geometry-optimized Ho2AsIr structure.

formation enthalpy at 0 K: -937 meV per atom
M_tot: 0.000 μB per atom

Cell: 4.0593 4.0593 19.9167 Å, 90.00 90.00 120.00°
With the nearest neighbours (Å) after each atom.
Space group R-3m (No. 166, hexagonal axes)
One atom of each set of equivalent atoms:
Ho1 0.0000 0.0000 0.2474 (multiplicity 6)  3 Ir 2.84, 3 As 2.90
As1 0.0000 0.0000 0.0000 (multiplicity 3)  6 Ho 2.90
Ir1 0.0000 0.0000 0.5000 (multiplicity 3)  6 Ho 2.84



Entry 6:
The following is a DFT calculation (GGA-PBE) of a geometry-optimized SrTcAs structure.

formation enthalpy at 0 K: 329 meV per atom
M_tot: 0.134 μB per atom
excess energy over the best structure of this formula in the dataset: 824 meV/atom

Cell: 6.5663 6.5663 6.5663 Å, 90.00 90.00 90.00°
With the nearest neighbours (Å) after each atom.
Space group F-43m (No. 216)
One atom of each set of equivalent atoms:
Sr1 0.0000 0.0000 0.0000 (multiplicity 4)  4 As 2.84
Tc1 0.0000 0.0000 0.5000 (multiplicity 4)  4 As 2.84
As1 0.2500 0.2500 0.7500 (multiplicity 4)  4 Tc 2.84, 4 Sr 2.84



Entry 7:
The following is a DFT calculation (GGA-PBE) of a geometry-optimized Pm5ErTm5 structure.

formation enthalpy at 0 K: 270 meV per atom
M_tot: 0.056 μB per atom

Cell: 18.8242 5.9177 7.0092 Å, 90.00 111.72 90.00°
With the nearest neighbours (Å) after each atom.
Space group C2/m (No. 12)
One atom of each set of equivalent atoms:
Pm1 0.0000 0.0000 0.0000 (multiplicity 2)  2 Tm 2.94, 2 Er 2.96
Pm2 0.1766 0.5000 0.4217 (multiplicity 4)  6 Tm 3.25-3.59, 2 Pm 3.43-3.58, 1 Er 3.54
Pm3 0.1767 0.5000 0.9324 (multiplicity 4)  6 Tm 3.25-3.59, 2 Pm 3.43-3.58, 1 Er 3.53
Er1 0.0000 0.5000 0.0000 (multiplicity 2)  2 Pm 2.96
Tm1 0.0000 0.5000 0.5000 (multiplicity 2)  2 Er 3.50, 4 Pm 3.56-3.58, 4 Tm 3.65
Tm2 0.1218 0.0000 0.6230 (multiplicity 4)  6 Pm 3.59-3.92, 4 Tm 3.60-3.65
Tm3 0.1683 0.0000 0.1693 (multiplicity 4)  3 Pm 2.94-3.25



Entry 8:
The following is a DFT calculation (GGA-PBE) of a geometry-optimized V6FeRu structure.

formation enthalpy at 0 K: -211 meV per atom
M_tot: 0.000 μB per atom
excess energy over the best structure of this formula in the dataset: 7 meV/atom

Cell: 4.7119 4.7119 4.7119 Å, 90.00 90.00 90.00°
With the nearest neighbours (Å) after each atom.
Space group Pm-3 (No. 200)
One atom of each set of equivalent atoms:
V1 0.0000 0.2461 0.5000 (multiplicity 6)  2 V 2.32-2.39
Fe1 0.0000 0.0000 0.0000 (multiplicity 1)  12 V 2.63
Ru1 0.5000 0.5000 0.5000 (multiplicity 1)  12 V 2.64



Entry 9:
The following is a DFT calculation (GGA-PBE) of a geometry-optimized Pm2NdHo2 structure.

formation enthalpy at 0 K: 50 meV per atom
M_tot: 0.000 μB per atom
excess energy over the best structure of this formula in the dataset: 0 meV/atom

Cell: 3.5477 5.7065 16.4579 Å, 90.00 90.00 90.00°
With the nearest neighbours (Å) after each atom.
Space group Immm (No. 71)
One atom of each set of equivalent atoms:
Pm1 0.0000 0.0000 0.2128 (multiplicity 4)  4 Ho 3.42-3.57, 6 Pm 3.55-3.58
Nd1 0.0000 0.5000 0.5000 (multiplicity 2)  2 Nd 3.55, 8 Ho 3.73, 4 Pm 3.93
Ho1 0.0000 0.5000 0.0987 (multiplicity 4)  3 Ho 3.25-3.55, 4 Pm 3.42-3.57



Entry 10:
The following is a DFT calculation (GGA-PBE) of a geometry-optimized La5Cu structure.

formation enthalpy at 0 K: -26 meV per atom
M_tot: 0.000 μB per atom
excess energy over the best structure of this formula in the dataset: 15 meV/atom

Cell: 12.6774 3.7415 8.8892 Å, 90.00 111.02 90.00°
With the nearest neighbours (Å) after each atom.
Space group Cm (No. 8)
One atom of each set of equivalent atoms:
La1 0.0000 0.0000 0.0000 (multiplicity 2)  2 Cu 3.35, 6 La 3.50-3.74
La2 0.0254 0.0000 0.4245 (multiplicity 2)  2 Cu 3.09
La3 0.1588 0.5000 0.7850 (multiplicity 2)  11 La 3.57-3.92
La4 0.2954 0.0000 0.1484 (multiplicity 2)  2 Cu 3.07
La5 0.3279 0.0000 0.5867 (multiplicity 2)  2 Cu 3.20, 1 La 3.58
Cu1 0.1710 0.5000 0.3024 (multiplicity 2)  8 La 3.07-3.35



Entry 11:
The following is a DFT calculation (GGA-PBE) of a geometry-optimized As3PdRh structure.

formation enthalpy at 0 K: 546 meV per atom
M_tot: 0.000 μB per atom
excess energy over the best structure of this formula in the dataset: 0 meV/atom

Cell: 4.7582 4.7582 4.7582 Å, 90.00 90.00 90.00°
With the nearest neighbours (Å) after each atom.
Space group Pm-3m (No. 221)
One atom of each set of equivalent atoms:
As1 0.0000 0.0000 0.5000 (multiplicity 3)  2 Rh 2.38
Pd1 0.5000 0.5000 0.5000 (multiplicity 1)  12 As 3.36
Rh1 0.0000 0.0000 0.0000 (multiplicity 1)  6 As 2.38



Entry 12:
The following is a DFT calculation (GGA-PBE) of a geometry-optimized Ac8Te4Rh3S structure.

formation energy (no corrections): -1256 meV per atom
M_tot: 0.000 μB per atom

Cell: 8.9031 8.9031 23.7841 Å, 90.00 90.00 120.00°
With the nearest neighbours (Å) after each atom.
Space group R-3m (No. 166, hexagonal axes)
One atom of each set of equivalent atoms:
Ac1 0.0000 0.0000 0.2369 (multiplicity 6)  3 Rh 3.07
Ac2 0.0100 0.5050 0.7627 (multiplicity 18)  2 Rh 3.04, 1 S 3.13, 1 Te 3.38
Te1 0.0000 0.0000 0.0000 (multiplicity 3)  6 Ac 3.38
Te2 0.0000 0.5000 0.0000 (multiplicity 9)  6 Ac 3.44-3.47
Rh1 0.0000 0.5000 0.5000 (multiplicity 9)  6 Ac 3.04-3.07
S1 0.0000 0.0000 0.5000 (multiplicity 3)  6 Ac 3.13



Entry 13:
The following is a DFT calculation (GGA-PBE) of a geometry-optimized YSiRu structure.

formation energy (no corrections): -582 meV per atom
M_tot: 0.000 μB per atom

Cell: 3.1673 3.1673 10.6395 Å, 90.00 90.00 90.00°
With the nearest neighbours (Å) after each atom.
Space group I4mm (No. 107)
One atom of each set of equivalent atoms:
Y1 0.0000 0.0000 0.0000 (multiplicity 2)  5 Ru 3.07-3.22, 5 Si 3.11-3.17, 4 Y 3.17
Si1 0.0000 0.0000 0.7022 (multiplicity 2)  4 Ru 2.48
Ru1 0.0000 0.0000 0.3024 (multiplicity 2)  4 Si 2.48



Entry 14:
The following is a DFT calculation (GGA-PBE) of a geometry-optimized MnCo2HOs structure.

M_tot: 0.436 μB per atom
excess energy over the best structure of this formula in the dataset: 29 meV/atom

Cell: 3.6304 3.6304 3.7631 Å, 90.00 90.00 90.00°
With the nearest neighbours (Å) after each atom.
Space group P4/mmm (No. 123)
One atom of each set of equivalent atoms:
Mn1 0.0000 0.0000 0.0000 (multiplicity 1)  4 Os 2.57, 8 Co 2.61
Co1 0.0000 0.5000 0.5000 (multiplicity 2)  2 H 1.82
H1 0.5000 0.5000 0.5000 (multiplicity 1)  4 Co 1.82, 2 Os 1.88
Os1 0.5000 0.5000 0.0000 (multiplicity 1)  2 H 1.88



Entry 15:
The following is a DFT calculation (GGA-PBE) of a geometry-optimized Hg2OsF5 structure.

formation energy (no corrections): -1225 meV per atom
M_tot: 0.445 μB per atom

Cell: 5.4309 11.6500 6.4193 Å, 90.00 114.90 90.00°
With the nearest neighbours (Å) after each atom.
Space group Cm (No. 8)
One atom of each set of equivalent atoms:
Hg1 0.0000 0.2500 0.0000 (multiplicity 4)  2 Hg 2.72
Os1 0.1248 0.0000 0.5004 (multiplicity 2)  5 F 1.92-2.01
F1 0.1498 0.1642 0.5000 (multiplicity 4)  1 Os 1.92
F2 0.2544 0.5000 0.5012 (multiplicity 2)  1 Os 2.01
F3 0.3145 0.0000 0.8288 (multiplicity 2)  1 Os 1.92
F4 0.4856 0.5000 0.1718 (multiplicity 2)  1 Os 1.92



Entry 16:
The following is a DFT calculation (GGA-PBE) of a geometry-optimized Ba2NaCaF6 structure.

formation energy (no corrections): -3242 meV per atom
M_tot: 0.000 μB per atom

Cell: 8.9051 8.9051 8.9051 Å, 90.00 90.00 90.00°
With the nearest neighbours (Å) after each atom.
Space group Fm-3m (No. 225)
One atom of each set of equivalent atoms:
Ba1 0.2500 0.2500 0.2500 (multiplicity 8)  12 F 3.15
Na1 0.0000 0.0000 0.0000 (multiplicity 4)  6 F 2.23
Ca1 0.0000 0.0000 0.5000 (multiplicity 4)  6 F 2.22
F1 0.0000 0.0000 0.2509 (multiplicity 24)  1 Ca 2.22, 1 Na 2.23



Entry 17:
The following is a DFT calculation (GGA-PBE) of a geometry-optimized BeAl2Pt structure.

formation enthalpy at 0 K: -415 meV per atom
M_tot: 0.000 μB per atom

Cell: 3.2674 3.2674 5.1879 Å, 90.00 90.00 90.00°
With the nearest neighbours (Å) after each atom.
Space group P4mm (No. 99)
One atom of each set of equivalent atoms:
Be1 0.0000 0.0000 0.0000 (multiplicity 1)  6 Al 2.54-2.64, 4 Pt 2.65
Al1 0.0000 0.0000 0.4902 (multiplicity 1)  2 Be 2.54-2.64, 4 Pt 2.63, 4 Al 2.73
Al2 0.5000 0.5000 0.7709 (multiplicity 1)  2 Pt 2.48-2.70, 4 Be 2.60, 4 Al 2.73
Pt1 0.5000 0.5000 0.2497 (multiplicity 1)  6 Al 2.48-2.70, 4 Be 2.65



Entry 18:
The following is a DFT calculation (GGA-PBE) of a geometry-optimized Zn2NiRu structure.

formation enthalpy at 0 K: -60 meV per atom
M_tot: 0.110 μB per atom

Cell: 2.9278 2.9493 6.0217 Å, 90.00 90.00 90.00°
With the nearest neighbours (Å) after each atom.
Space group Pmmm (No. 47)
One atom of each set of equivalent atoms:
Zn1 0.0000 0.0000 0.2337 (multiplicity 2)  4 Ni 2.51, 4 Ru 2.62
Ni1 0.5000 0.5000 0.0000 (multiplicity 1)  8 Zn 2.51
Ru1 0.5000 0.5000 0.5000 (multiplicity 1)  8 Zn 2.62, 2 Ru 2.93



Entry 19:
The following is a DFT calculation (GGA-PBE) of a geometry-optimized BaPtAu4 structure.

formation enthalpy at 0 K: -230 meV per atom
M_tot: 0.000 μB per atom
excess energy over the best structure of this formula in the dataset: 24 meV/atom

Cell: 6.2271 8.6421 6.1766 Å, 90.00 103.91 90.00°
With the nearest neighbours (Å) after each atom.
Space group C2/m (No. 12)
One atom of each set of equivalent atoms:
Ba1 0.0000 0.0000 0.0000 (multiplicity 2)  2 Pt 3.09, 2 Au 3.31
Pt1 0.0000 0.0000 0.5000 (multiplicity 2)  6 Au 2.66-2.82
Au1 0.0684 0.5000 0.2240 (multiplicity 4)  3 Au 2.69-2.82, 1 Pt 2.82
Au2 0.2500 0.2500 0.5000 (multiplicity 4)  2 Pt 2.66, 2 Au 2.82



Entry 20:
The following is a DFT calculation (GGA-PBE) of a geometry-optimized Tb3PmDy6 structure.

formation enthalpy at 0 K: 277 meV per atom
M_tot: 0.000 μB per atom
excess energy over the best structure of this formula in the dataset: 129 meV/atom

Cell: 9.8361 9.8361 11.6598 Å, 90.00 90.00 120.00°
With the nearest neighbours (Å) after each atom.
Space group R3 (No. 146, hexagonal axes)
One atom of each set of equivalent atoms:
Tb1 0.0000 0.0000 0.0000 (multiplicity 3)  1 Tb 2.89, 1 Pm 2.94
Tb2 0.0000 0.0000 0.2478 (multiplicity 3)  2 Tb 2.89-2.90, 3 Dy 3.23
Tb3 0.0000 0.0000 0.4964 (multiplicity 3)  1 Tb 2.90, 1 Pm 2.93
Pm1 0.0000 0.0000 0.7477 (multiplicity 3)  2 Tb 2.93-2.94, 3 Dy 3.25
Dy1 0.9997 0.3299 0.7468 (multiplicity 9)  1 Pm 3.25, 2 Tb 3.43
Dy2 0.9997 0.6711 0.2469 (multiplicity 9)  3 Tb 3.23-3.45



no.,calculated density (g/cm3)
1,6.031
2,10.327
3,6.100
4,7.805
5,10.464
6,6.112
7,7.953
8,7.343
9,7.616
10,6.397
11,6.691
12,8.138
13,6.785
14,12.188
15,6.188
16,4.249
17,7.737
18,9.280
19,11.531
20,8.142